Entry 1:
The following is a PBE calculation of La2TeCl after structural relaxation, from Alexandria via LeMat-Bulk.

## Properties
Crystal system = tetragonal
Formation energy from raw total energies = -4.3 eV/f.u.
E_tot = -19.12 eV per formula unit
Energy above the lowest structure with this stoichiometry = 482 meV per atom
Calculated density = 4.46 g/cm3

Lattice parameters (Å, degrees): 6.8594 6.8594 8.4911 66.18 66.18 90.00
Last column: nearest neighbours and their distance in Å.
Positions (direct):
Cl  0.2500  0.7500  0.5000  4 La 2.88
La  0.5977  0.1250  0.2500  2 Cl 2.88, 2 Te 3.10
Te  0.7500  0.2500  0.5000  4 La 3.10
La  0.1523  0.6250  0.2500  2 Cl 2.88, 2 Te 3.10
La  0.8750  0.8477  0.7500  2 Cl 2.88, 2 Te 3.10
Cl  0.5000  0.5000  0.0000  4 La 2.88
La  0.3750  0.4023  0.7500  2 Cl 2.88, 2 Te 3.10
Te  0.0000  0.0000  0.0000  4 La 3.10

Entry 2:
The following is a PBE calculation of PaTlCdHg after structural relaxation, from Alexandria via LeMat-Bulk.

## Properties
Formation enthalpy at 0 K = 0.135 eV/atom
Crystal system = cubic
E_tot = -12.54 eV per formula unit
Calculated density = 12.59 g/cm3

Lattice parameters (Å, degrees): 5.1877 5.1877 5.1877 60.00 60.00 60.00
Last column: nearest neighbours and their distance in Å.
Positions (direct):
Cd  0.2500  0.2500  0.2500  4 Hg 3.18, 4 Tl 3.18
Tl  0.0000  0.0000  0.0000  4 Cd 3.18, 4 Pa 3.18
Hg  0.5000  0.5000  0.5000  4 Pa 3.18, 4 Cd 3.18
Pa  0.7500  0.7500  0.7500  4 Hg 3.18, 4 Tl 3.18

Entry 3:
The following is a PBE calculation of Ti3Mo7 after structural relaxation, from Alexandria via LeMat-Bulk.

## Properties
Formation enthalpy at 0 K = 0.264 eV/atom
Crystal system = hexagonal
E_tot = -96.87 eV per formula unit
Calculated density = 8.25 g/cm3

Lattice parameters (Å, degrees): 5.2424 8.4994 8.4994 120.00 90.00 90.00
Last column: nearest neighbours and their distance in Å.
Positions (direct):
Mo  0.1658  0.5000  0.0000  4 Ti 2.56, 4 Mo 2.62-2.78
Ti  0.9158  0.7875  0.2125  6 Mo 2.56-2.71
Mo  0.4159  0.2227  0.1113  4 Ti 2.71-3.01, 2 Mo 2.84
Ti  0.9158  0.7875  0.5750  6 Mo 2.56-2.71
Mo  0.9159  0.7773  0.8887  4 Ti 2.71-3.01, 2 Mo 2.84
Mo  0.1658  0.0000  0.5000  4 Ti 2.56, 4 Mo 2.62-2.78
Mo  0.1658  0.5000  0.5000  4 Ti 2.56, 4 Mo 2.62-2.78
Mo  0.9158  0.1113  0.2227  4 Ti 2.71-3.02, 2 Mo 2.84
Ti  0.4158  0.2125  0.4250  6 Mo 2.56-2.71
Mo  0.6658  0.5000  0.5000  4 Ti 2.56, 4 Mo 2.62-2.78
Mo  0.4157  0.6667  0.3333  6 Mo 2.78
Mo  0.4158  0.8887  0.1113  4 Ti 2.71-3.02, 2 Mo 2.84
Ti  0.9158  0.4250  0.2125  6 Mo 2.56-2.71
Mo  0.9157  0.3333  0.6667  6 Mo 2.78
Ti  0.4158  0.2125  0.7875  6 Mo 2.56-2.71
Mo  0.9158  0.1113  0.8887  4 Ti 2.71-3.02, 2 Mo 2.84
Mo  0.6658  0.0000  0.5000  4 Ti 2.56, 4 Mo 2.62-2.78
Mo  0.4158  0.8887  0.7773  4 Ti 2.71-3.02, 2 Mo 2.84
Ti  0.4158  0.5750  0.7875  6 Mo 2.56-2.71
Mo  0.6658  0.5000  0.0000  4 Ti 2.56, 4 Mo 2.62-2.78

Entry 4:
The following is a PBE calculation of KInRe after structural relaxation, from Alexandria via LeMat-Bulk.

## Properties
Formation enthalpy at 0 K = 1.607 eV/atom
Crystal system = cubic
E_tot = -11.46 eV per formula unit
Energy above the lowest structure with this stoichiometry = 707 meV per atom
Calculated density = 6.47 g/cm3

Lattice parameters (Å, degrees): 4.9796 4.9796 4.9796 60.00 60.00 60.00
Last column: nearest neighbours and their distance in Å.
Positions (direct):
Re  0.7500  0.7500  0.7500  4 In 3.05, 4 K 3.05
In  0.0000  0.0000  0.0000  4 Re 3.05
K  0.5000  0.5000  0.5000  4 Re 3.05